(1)
SrTiI3 after structural relaxation, computed with PBE-GGA.

Computed properties:
The offset from the most stable computed form comes out at 0.000 eV/atom. As for the density of states at the Fermi level: 5.054 states/eV/cell. Its spin magnetization is 2.8 μB/f.u. Its formation energy without anion corrections is -3.36 eV per formula unit.

Structure (CIF):
```
data_SrTiI3
_chemical_formula_sum 'Sr1 Ti1 I3'
_symmetry_space_group_name_H-M 'P m -3 m'
_symmetry_Int_Tables_number 221
_symmetry_space_group_name_Hall '-P 4 2 3'
_cell_length_a 5.702
_cell_length_b 5.702
_cell_length_c 5.702
_cell_angle_alpha 90.00
_cell_angle_beta 90.00
_cell_angle_gamma 90.00
loop_
_atom_site_label
_atom_site_type_symbol
_atom_site_fract_x
_atom_site_fract_y
_atom_site_fract_z
Sr1 Sr 0.000 0.000 0.000
Ti1 Ti 0.500 0.500 0.500
I1 I 0.000 0.500 0.500
```

(2)
KPu2Br5 after structural relaxation, computed with PBE-GGA.

Computed properties:
As for the density of states at the Fermi level: 52.883 states/eV/cell. Its spin magnetization is 12.0 μB/f.u. Its formation energy without anion corrections is -11.76 eV per formula unit.

Structure (CIF):
```
data_KPu2Br5
_chemical_formula_sum 'K2 Pu4 Br10'
_symmetry_space_group_name_H-M 'I m m m'
_symmetry_Int_Tables_number 71
_symmetry_space_group_name_Hall '-I 2 2'
_cell_length_a 4.407
_cell_length_b 7.577
_cell_length_c 15.633
_cell_angle_alpha 90.00
_cell_angle_beta 90.00
_cell_angle_gamma 90.00
loop_
_atom_site_label
_atom_site_type_symbol
_atom_site_fract_x
_atom_site_fract_y
_atom_site_fract_z
K1 K 0.000 0.000 0.000
Pu1 Pu 0.000 0.500 0.190
Br1 Br 0.000 0.267 0.350
Br2 Br 0.000 0.500 0.000
```

What is the formation energy without anion corrections in the second record?
-11.76 eV per formula unit